1.
DFT (GGA-PBE) results for an optimized crystal structure of LaIrPb2.

a = 5.466 Å, b = 5.466 Å, c = 6.293 Å
α = 111.83°, β = 111.83°, γ = 41.06°
Atoms (fractional coordinates):
La: 0.000 0.000 0.000
Ir: 0.289 0.289 0.004
Pb: 0.639 0.639 0.641
Pb: 0.836 0.836 0.368

size of the total moment = 0.000 Bohr magnetons per cell
SG = Cm, No. 8
energy relative to the elements = -0.27 eV per atom
DOS(E_F) = 3.25 states/eV per cell

***

2.
DFT (GGA-PBE) results for an optimized crystal structure of La6IrRhPb2.

a = 7.886 Å, b = 7.875 Å, c = 7.869 Å
α = 60.11°, β = 59.98°, γ = 59.91°
Atoms (fractional coordinates):
La: 0.250 0.250 0.750
La: 0.250 0.750 0.250
La: 0.250 0.750 0.750
La: 0.750 0.250 0.250
La: 0.750 0.250 0.750
La: 0.750 0.750 0.250
Ir: 0.000 0.000 0.000
Rh: 0.500 0.500 0.500
Pb: 0.250 0.250 0.250
Pb: 0.750 0.750 0.750

size of the total moment = 0.001 Bohr magnetons per cell
SG = Fmmm, No. 69
energy relative to the elements = -0.54 eV per atom
DOS(E_F) = 9.08 states/eV per cell